No. 1
Compound: TaAu2Br
Source: Alexandria
Functional: PBE-GGA
Structure: relaxed

volume = 78 Å³/cell
space group = Cmmm
polymorph energy (0 for the lowest one) = 0.398 eV per atom
formation energy from raw total energies = 400 meV per atom
raw total energy = -4.620 eV/atom

a b c (Å): 6.1274 5.5274 3.0121
angles (deg): 89.99 60.58 114.86
Last column: nearest neighbours and their distance in Å.
Fractional coordinates of all 4 atoms:
Br1 0.0000 0.5000 0.5000  2 Ta 2.67
Au1 0.0000 0.0000 0.0000  2 Au 2.67
Au2 0.5000 0.0000 0.5000  2 Au 2.67
Ta1 0.5000 0.5000 0.0000  2 Br 2.67

---

No. 2
Compound: Cs2PmTlO4
Source: Alexandria
Functional: PBE-GGA
Structure: relaxed

volume = 197 Å³/cell
space group = I-4
formation energy from raw total energies = -1731 meV per atom
raw total energy = -5.313 eV/atom

a b c (Å): 6.5468 6.5471 6.5196
angles (deg): 120.15 120.15 89.99
Last column: nearest neighbours and their distance in Å.
Fractional coordinates of all 8 atoms:
O1 0.3649 0.7575 0.2301  1 Tl 2.19, 1 Pm 2.23
O2 0.8651 0.4725 0.2299  1 Tl 2.19, 1 Pm 2.22
O3 0.7142 0.6065 0.7134  1 Tl 2.19, 1 Pm 2.23
O4 0.9992 0.1069 0.7134  1 Tl 2.19, 1 Pm 2.23
Tl1 0.7359 0.7359 0.4718  4 O 2.19
Cs1 0.4859 0.9859 0.9719  4 O 3.09
Cs2 0.2360 0.2360 0.4719  4 O 3.06
Pm1 0.9859 0.4859 0.9718  4 O 2.22-2.23

---

No. 3
Compound: ReTc3Cl
Source: Alexandria
Functional: PBE-GGA
Structure: relaxed

volume = 110 Å³/cell
space group = Pm-3m
polymorph energy (0 for the lowest one) = 0.517 eV per atom
formation energy from raw total energies = 1873 meV per atom
raw total energy = -7.205 eV/atom

a b c (Å): 4.7974 4.7974 4.7974
angles (deg): 90.00 90.00 90.00
Last column: nearest neighbours and their distance in Å.
Fractional coordinates of all 5 atoms:
Cl1 0.5000 0.5000 0.5000  12 Tc 3.39
Tc1 0.5000 0.0000 0.0000  2 Re 2.40
Tc2 0.0000 0.0000 0.5000  2 Re 2.40
Tc3 0.0000 0.5000 0.0000  2 Re 2.40
Re1 0.0000 0.0000 0.0000  6 Tc 2.40

---

No. 4
Compound: MgGaAgO
Source: Alexandria
Functional: PBE-GGA
Structure: relaxed

volume = 129 Å³/cell
space group = Amm2
polymorph energy (0 for the lowest one) = 0.136 eV per atom
formation energy from raw total energies = -941 meV per atom
raw total energy = -4.049 eV/atom

a b c (Å): 3.1648 2.9727 13.6858
angles (deg): 90.00 90.00 90.00
Last column: nearest neighbours and their distance in Å.
Fractional coordinates of all 8 atoms:
Ag1 0.5000 0.5000 0.8353  2 Ga 2.67, 4 Mg 2.94, 2 Ag 2.97
Ag2 0.5000 0.0000 0.3353  2 Ga 2.67, 4 Mg 2.94, 2 Ag 2.97
Ga1 0.5000 0.5000 0.4978  2 O 2.03
Ga2 0.5000 0.0000 0.9978  2 O 2.03
Mg1 0.0000 0.5000 0.1904  2 O 2.02
Mg2 0.0000 0.0000 0.6904  2 O 2.02
O1 0.0000 0.0000 0.0905  2 Mg 2.02, 2 Ga 2.03
O2 0.0000 0.5000 0.5905  2 Mg 2.02, 2 Ga 2.03

---

No. 5
Compound: AlAgBr2
Source: Alexandria
Functional: PBE-GGA
Structure: relaxed

volume = 110 Å³/cell
space group = P4mm
polymorph energy (0 for the lowest one) = 0.299 eV per atom
formation energy from raw total energies = -183 meV per atom
raw total energy = -2.668 eV/atom

a b c (Å): 4.2465 4.2493 6.0820
angles (deg): 90.00 90.00 90.00
Last column: nearest neighbours and their distance in Å.
Fractional coordinates of all 4 atoms:
Al1 0.5000 0.5000 0.8722  6 Br 2.94-3.14
Br1 0.0000 0.0000 0.8732  2 Ag 2.88-3.20, 4 Al 3.00
Br2 0.5000 0.5000 0.3558  2 Al 2.94-3.14, 4 Ag 3.02
Ag1 0.0000 0.0000 0.3989  6 Br 2.88-3.20

---

No. 6
Compound: Rb2LiZrBr6
Source: Alexandria
Functional: PBE-GGA
Structure: relaxed

volume = 325 Å³/cell
space group = Fm-3m
polymorph energy (0 for the lowest one) = 0.008 eV per atom
formation energy from raw total energies = -1509 meV per atom
raw total energy = -3.753 eV/atom

a b c (Å): 7.7201 7.7201 7.7200
angles (deg): 60.00 60.00 90.00
Last column: nearest neighbours and their distance in Å.
Fractional coordinates of all 10 atoms:
Zr1 0.0000 0.0000 0.0000  6 Br 2.71
Br1 0.2484 0.7516 0.0000  1 Zr 2.71, 1 Li 2.75
Br2 0.7516 0.7516 0.0000  1 Zr 2.71, 1 Li 2.75
Br3 0.7516 0.2484 0.0000  1 Zr 2.71, 1 Li 2.75
Br4 0.2485 0.2485 0.5031  1 Zr 2.71, 1 Li 2.75
Br5 0.2484 0.2484 0.0000  1 Zr 2.71, 1 Li 2.75
Br6 0.7515 0.7515 0.4969  1 Zr 2.71, 1 Li 2.75
Rb1 0.2500 0.7500 0.5000  12 Br 3.86
Rb2 0.7500 0.2500 0.5000  12 Br 3.86
Li1 0.5000 0.5000 0.0000  6 Br 2.75

---

No. 7
Compound: Ho2Sc8In
Source: Alexandria
Functional: PBE-GGA
Structure: relaxed

volume = 283 Å³/cell
space group = C2/m
raw total energy = -5.637 eV/atom

a b c (Å): 5.6420 9.9823 9.9823
angles (deg): 35.27 62.13 62.13
Last column: nearest neighbours and their distance in Å.
Fractional coordinates of all 11 atoms:
Sc1 0.6836 0.9092 0.4014  5 Sc 2.98-3.25, 1 In 2.99
Sc2 0.3164 0.0908 0.5986  5 Sc 2.98-3.25, 1 In 2.99
Sc3 0.7777 0.4810 0.4810  2 Sc 2.85-2.93
Sc4 0.3164 0.5986 0.0908  5 Sc 2.98-3.25, 1 In 2.99
Sc5 0.2223 0.5190 0.5190  2 Sc 2.85-2.93
Sc6 0.6870 0.9088 0.9088  2 In 3.02-3.38, 3 Sc 3.05-3.25, 1 Ho 3.23
Sc7 0.6836 0.4014 0.9092  5 Sc 2.98-3.25, 1 In 2.99
Sc8 0.3130 0.0912 0.0912  2 In 3.02-3.38, 3 Sc 3.05-3.25, 1 Ho 3.23
Ho1 0.9218 0.2845 0.2845  6 Sc 3.23-3.41, 2 Ho 3.24
Ho2 0.0782 0.7155 0.7155  6 Sc 3.23-3.41, 2 Ho 3.24
In1 0.0000 0.0000 0.0000  6 Sc 2.99-3.02

---

No. 8
Compound: PmNdOsRu
Source: Alexandria
Functional: PBE-GGA
Structure: relaxed

volume = 86 Å³/cell
space group = F-43m
raw total energy = -7.438 eV/atom

a b c (Å): 4.9538 4.9538 4.9538
angles (deg): 60.00 60.00 60.00
Last column: nearest neighbours and their distance in Å.
Fractional coordinates of all 4 atoms:
Nd1 0.5000 0.5000 0.5000  4 Ru 3.03, 4 Os 3.03
Os1 0.7500 0.7500 0.7500  4 Pm 3.03, 4 Nd 3.03
Pm1 0.0000 0.0000 0.0000  4 Os 3.03, 4 Ru 3.03
Ru1 0.2500 0.2500 0.2500  4 Nd 3.03, 4 Pm 3.03

---

No. 9
Compound: K3Sc2SnS6
Source: Alexandria
Functional: PBE-GGA
Structure: relaxed

volume = 290 Å³/cell
space group = C2/m
formation energy from raw total energies = -1407 meV per atom
raw total energy = -5.134 eV/atom

a b c (Å): 6.7852 6.7852 7.6221
angles (deg): 98.53 98.53 120.01
Last column: nearest neighbours and their distance in Å.
Fractional coordinates of all 12 atoms:
Sn1 0.0000 0.0000 0.0000  6 S 2.73
Sc1 0.3330 0.6670 0.0000  6 S 2.63-2.64
Sc2 0.6670 0.3330 0.0000  6 S 2.63-2.64
K1 0.5000 0.5000 0.5000  6 S 3.13-3.20
K2 0.1641 0.8359 0.5000  6 S 3.14-3.20
K3 0.8359 0.1641 0.5000  6 S 3.14-3.20
S1 0.5910 0.9353 0.8061  2 Sc 2.63, 1 Sn 2.73
S2 0.7201 0.7201 0.1933  2 Sc 2.64, 1 Sn 2.73
S3 0.9353 0.5910 0.8061  2 Sc 2.63, 1 Sn 2.73
S4 0.0647 0.4090 0.1939  2 Sc 2.63, 1 Sn 2.73
S5 0.2799 0.2799 0.8067  2 Sc 2.64, 1 Sn 2.73
S6 0.4090 0.0647 0.1939  2 Sc 2.63, 1 Sn 2.73

---

No. 10
Compound: HgTeBr2
Source: Alexandria
Functional: PBE-GGA
Structure: relaxed

volume = 124 Å³/cell
space group = C2/m
polymorph energy (0 for the lowest one) = 0.196 eV per atom
formation energy from raw total energies = -14 meV per atom
raw total energy = -1.712 eV/atom

a b c (Å): 5.4446 5.4446 5.5170
angles (deg): 66.00 66.00 100.47
Last column: nearest neighbours and their distance in Å.
Fractional coordinates of all 4 atoms:
Br1 0.0000 0.0000 0.0000  2 Hg 2.99, 2 Te 2.99
Br2 0.5000 0.5000 0.0000  2 Te 2.99, 2 Hg 2.99
Te1 0.0000 0.5000 0.5000  4 Br 2.99
Hg1 0.5000 0.0000 0.5000  4 Br 2.99

---

No. 11
Compound: LaLuZrSc
Source: Alexandria
Functional: PBE-GGA
Structure: relaxed

volume = 111 Å³/cell
space group = F-43m
raw total energy = -5.928 eV/atom

a b c (Å): 5.3916 5.3916 5.3916
angles (deg): 60.00 60.00 60.00
Last column: nearest neighbours and their distance in Å.
Fractional coordinates of all 4 atoms:
Lu1 0.5000 0.5000 0.5000  4 La 3.30, 4 Zr 3.30
Zr1 0.7500 0.7500 0.7500  4 Sc 3.30, 4 Lu 3.30
La1 0.2500 0.2500 0.2500  4 Sc 3.30, 4 Lu 3.30
Sc1 0.0000 0.0000 0.0000  4 Zr 3.30, 4 La 3.30

---

No. 12
Compound: ScBiO4
Source: Alexandria
Functional: PBE-GGA
Structure: relaxed

volume = 81 Å³/cell
space group = Cmmm
formation energy from raw total energies = -1939 meV per atom
raw total energy = -6.946 eV/atom

a b c (Å): 3.3239 4.9279 4.9278
angles (deg): 87.74 90.00 90.00
Last column: nearest neighbours and their distance in Å.
Fractional coordinates of all 6 atoms:
Bi1 0.5000 0.0000 0.0000  6 O 2.11-2.17
O1 0.0000 0.8036 0.8035  1 Sc 2.16, 2 Bi 2.17
O2 0.5000 0.3089 0.6911  1 Bi 2.11, 2 Sc 2.11
O3 0.0000 0.1964 0.1965  1 Sc 2.16, 2 Bi 2.17
O4 0.5000 0.6911 0.3089  1 Bi 2.11, 2 Sc 2.11
Sc1 0.0000 0.5000 0.5000  6 O 2.11-2.16